The following is a DFT calculation (PBE with a Hubbard U) of TlNi3F after structural relaxation.

```
data_TlNi3F
_chemical_formula_sum 'Tl1 Ni3 F1'
_cell_length_a 4.212
_cell_length_b 4.212
_cell_length_c 4.212
_cell_angle_alpha 90.00
_cell_angle_beta 90.00
_cell_angle_gamma 90.00
_symmetry_space_group_name_H-M 'P m -3 m'
_symmetry_Int_Tables_number 221
_symmetry_space_group_name_Hall '-P 4 2 3'
loop_
_atom_site_label
_atom_site_fract_x
_atom_site_fract_y
_atom_site_fract_z
Tl1 0.000 0.000 0.000
Ni1 0.000 0.500 0.500
F1 0.500 0.500 0.500
```

Total magnetic moment in μB per formula unit: 2.98
Uncorrected energy in eV for the cell shown: -11.32
D(E_F) in states/eV/cell: 0.85
E above lowest polymorph in kJ per mole of atoms: 0.00